Record 1
This record from Alexandria describes SrSeCl2 after structural relaxation. The functional is PBE.

## Properties
For the energy above the most stable polymorph in this dataset, the calculation gives 231.0 meV/atom. As for the crystal system: tetragonal. The calculation puts the final energy at -3.47 eV per atom. The formation energy from raw total energies comes out at -121.3 kJ/mol of atoms.

Cell lengths 4.175, 4.175, 11.410 Å; angles 90.00, 90.00, 90.00 degrees
Space group I-4m2 (No. 119)
Unique sites:
Sr: 0.000 0.000 0.000 x2
Se: 0.000 0.500 0.250 x2
Cl: 0.000 0.000 0.500 x2
Cl: 0.000 0.500 0.750 x2


Record 2
This record from Alexandria describes Zn2B2Pb after structural relaxation. The functional is PBE.

## Properties
For the energy above the most stable polymorph in this dataset, the calculation gives 78.9 meV/atom. As for the crystal system: tetragonal. The calculation puts the final energy at -2.92 eV per atom. The formation energy is 1.005 eV/atom.

Cell lengths 7.050, 7.050, 3.487 Å; angles 90.00, 90.00, 90.00 degrees
Space group P4/mbm (No. 127)
Unique sites:
Zn: 0.129 0.371 0.000 x4
B: 0.081 0.581 0.500 x4
Pb: 0.000 0.000 0.000 x2


no.,size of the total moment (Bohr magnetons per cell)
1,0.00
2,0.00